The following is a DFT calculation (GGA-PBE) of a relaxed CoSi2P crystal.

Cell: 8.879 8.879 8.879 Å, 17.49 17.49 17.49°
Sites, in units of the cell vectors:
Co 0.000 0.000 0.000
Si 0.263 0.263 0.263
Si 0.504 0.504 0.504
P 0.729 0.729 0.729

Properties
Space-group type: R3m (160)
Density of states at the Fermi level, states/eV/atom: 0.59
Formation energy (no corrections), eV/atom: 0.152
Electronic total energy, eV per atom: -5.688
Polymorph energy (0 for the lowest one), kcal/mol of atoms: 6.625